First-principles (PBE) data for Sc3GeTe after structural relaxation, as listed in Alexandria via LeMat-Bulk.

Computed properties:
Distance to the lowest polymorph of the same formula   2.443 eV/f.u.
DOS at the Fermi energy   7.00 states/eV/f.u.
Symmetry   Pm-3m, No. 221
Volume   26.04 Å³/atom
ΔE_f (raw)   -329 meV per atom
Total energy   -5.680 eV per atom
Total moment   0.0 μB per formula unit

a = 5.0685 Å, b = 5.0685 Å, c = 5.0685 Å
α = 90.00°, β = 90.00°, γ = 90.00°
Closest atoms and distances in Å follow each position.
Sites, in units of the cell vectors:
Sc  0.0000  0.5000  0.0000  2 Ge 2.53
Sc  0.0000  0.0000  0.5000  2 Ge 2.53
Sc  0.5000  0.0000  0.0000  2 Ge 2.53
Ge  0.0000  0.0000  0.0000  6 Sc 2.53
Te  0.5000  0.5000  0.5000  12 Sc 3.58